Be2AgOs | GGA-PBE | relaxed

abc: 5.9044 5.9044 5.9044
angles: 90.00 90.00 90.00
Last column: nearest neighbours and their distance in Å.
Space group F-43m (No. 216)
Inequivalent atoms, fractional coordinates:
1 Be 0.0000 0.0000 0.0000  4 Os 2.56, 4 Be 2.56
2 Be 0.2500 0.2500 0.2500  4 Be 2.56, 4 Ag 2.56
3 Ag 0.0000 0.0000 0.5000  4 Os 2.56, 4 Be 2.56
4 Os 0.2500 0.2500 0.7500  4 Be 2.56, 4 Ag 2.56

The formation energy from the elements comes out at 0.626 eV per atom. Its energy above the most stable polymorph in this dataset is 671 meV per atom. The calculated volume is 12.87 Å³ per atom. The value obtained for the mass density is 10.20 g/cm³.

BeAg2Os | GGA-PBE | relaxed

abc: 2.6753 4.2166 5.3028
angles: 90.00 90.00 90.00
Last column: nearest neighbours and their distance in Å.
Space group Pmmm (No. 47)
Inequivalent atoms, fractional coordinates:
1 Be 0.0000 0.0000 0.0000  2 Os 2.65, 2 Be 2.68, 8 Ag 2.82
2 Ag 0.5000 0.5000 0.2457  4 Ag 2.61-2.70, 4 Be 2.82, 4 Os 2.84
3 Os 0.0000 0.0000 0.5000  2 Be 2.65, 2 Os 2.68, 8 Ag 2.84

The formation energy from the elements comes out at 0.655 eV per atom. The calculated volume is 14.95 Å³ per atom. The value obtained for the mass density is 11.52 g/cm³.